Entry from the Alexandria database: a relaxed structure of Np4AgS8 (PBE).

Cell lengths 7.9956, 7.9956, 7.4013 Å; angles 106.43, 104.94, 119.96 degrees
Element x y z (fractional)
S 0.6930 0.5162 0.2091
S 0.7087 0.0480 0.2246
S 0.1766 0.5158 0.2246
S 0.8079 0.9616 0.7694
S 0.8234 0.4842 0.7754
S 0.1921 0.0384 0.2306
S 0.2913 0.9520 0.7754
S 0.3070 0.4838 0.7909
Ag 0.0000 0.5000 0.5000
Np 0.7350 0.2325 0.9675
Np 0.2650 0.7675 0.0325
Np 0.2476 0.2476 0.0000
Np 0.7524 0.7524 0.0000

Results
formation energy (no corrections): -1151 meV per atom
size of the total moment: 1.000 μB/atom
space-group type: C2/m
DFT total energy: -7.892 eV/atom
D(E_F): 38.81 states/eV/f.u.